A plane-wave DFT calculation with PBE-GGA was carried out for an optimized crystal structure of VSi2Pt.

Calculated values
Total moment: 2.82 μB per cell
ΔE_f (raw): 2 meV per atom
Theoretical density: 7.99 g/cm3
SG: I-42d, No. 122

a b c (Å): 6.7050 6.7050 5.5034
angles (deg): 52.47 52.47 90.00
Last column: nearest neighbours and their distance in Å.
Atoms (fractional coordinates):
1 Si 0.6429 0.1250 0.2500  2 Pt 2.39, 2 V 2.55
2 Si 0.1071 0.6250 0.2500  2 Pt 2.39, 2 V 2.55
3 Si 0.3750 0.3571 0.7500  2 Pt 2.39, 2 V 2.55
4 Si 0.8750 0.8929 0.7500  2 Pt 2.39, 2 V 2.55
5 Pt 0.0000 0.0000 0.0000  4 Si 2.39
6 Pt 0.7500 0.2500 0.5000  4 Si 2.39
7 V 0.5000 0.5000 0.0000  4 Si 2.55, 2 Pt 2.79
8 V 0.2500 0.7500 0.5000  4 Si 2.55, 2 Pt 2.79



A plane-wave DFT calculation with PBE-GGA was carried out for an optimized crystal structure of Rb4NaI4.

Calculated values
Total moment: 0.00 μB per cell
ΔE_f (raw): -1200 meV per atom
Theoretical density: 2.91 g/cm3
SG: P4_2/nmc, No. 137

a b c (Å): 8.9660 10.5322 10.5322
angles (deg): 90.00 90.00 90.00
Last column: nearest neighbours and their distance in Å.
Atoms (fractional coordinates):
1 Rb 0.3387 0.2733 0.9998  5 I 3.80-3.85, 1 Na 4.18
2 Rb 0.8387 0.5002 0.7733  5 I 3.80-3.85, 1 Na 4.18
3 Rb 0.3387 0.7267 0.0002  5 I 3.80-3.85, 1 Na 4.18
4 Rb 0.1613 0.2267 0.5002  5 I 3.80-3.85, 1 Na 4.18
5 Rb 0.6613 0.9998 0.7267  5 I 3.80-3.85, 1 Na 4.18
6 Rb 0.1613 0.7733 0.4998  5 I 3.80-3.85, 1 Na 4.18
7 Rb 0.8387 0.4998 0.2267  5 I 3.80-3.85, 1 Na 4.18
8 Rb 0.6613 0.0002 0.2733  5 I 3.80-3.85, 1 Na 4.18
9 Na 0.0000 0.0000 0.0000  4 I 3.21
10 Na 0.5000 0.5000 0.5000  4 I 3.21
11 I 0.7384 0.7268 0.4999  1 Na 3.21
12 I 0.7384 0.2732 0.5001  1 Na 3.21
13 I 0.2384 0.9999 0.7732  1 Na 3.21
14 I 0.7616 0.2268 0.9999  1 Na 3.21
15 I 0.7616 0.7732 0.0001  1 Na 3.21
16 I 0.2616 0.4999 0.2732  1 Na 3.21
17 I 0.2616 0.5001 0.7268  1 Na 3.21
18 I 0.2384 0.0001 0.2268  1 Na 3.21



A plane-wave DFT calculation with PBE-GGA was carried out for an optimized crystal structure of K3TeH.

Calculated values
Total moment: 0.00 μB per cell
Final energy: -51.7 eV per cell
Theoretical density: 2.00 g/cm3
SG: C2/c, No. 15

a b c (Å): 22.7448 9.9194 9.9194
angles (deg): 110.96 139.33 40.67
Last column: nearest neighbours and their distance in Å.
Atoms (fractional coordinates):
1 H 0.7500 0.2047 0.7047  2 K 2.66
2 H 0.2500 0.7953 0.2953  2 K 2.66
3 H 0.7500 0.5591 0.0591  4 K 2.54
4 H 0.2500 0.4409 0.9409  4 K 2.54
5 K 0.6330 0.4263 0.3429  1 H 2.66
6 K 0.8670 0.8429 0.9263  1 H 2.66
7 K 0.3670 0.5737 0.6571  1 H 2.66
8 K 0.1330 0.1571 0.0737  1 H 2.66
9 K 0.1455 0.6216 0.5891  1 H 2.54
10 K 0.3545 0.0891 0.1216  1 H 2.54
11 K 0.8545 0.3784 0.4109  1 H 2.54
12 K 0.6455 0.9109 0.8784  1 H 2.54
13 K 0.9422 0.2171 0.1032  1 H 2.54
14 K 0.5578 0.6032 0.7171  1 H 2.54
15 K 0.0578 0.7829 0.8968  1 H 2.54
16 K 0.4422 0.3968 0.2829  1 H 2.54
17 Te 0.2509 0.3620 0.3570  7 K 3.46-3.60
18 Te 0.2491 0.8570 0.8620  7 K 3.46-3.60
19 Te 0.7491 0.6380 0.6430  7 K 3.46-3.60
20 Te 0.7509 0.1430 0.1380  7 K 3.46-3.60



A plane-wave DFT calculation with PBE-GGA was carried out for an optimized crystal structure of ErScGaFe.

Calculated values
DFT formation energy: -0.254 eV/atom
Total moment: 0.96 μB per cell
Theoretical density: 7.41 g/cm3
SG: F-43m, No. 216

a b c (Å): 4.7473 4.7473 4.7473
angles (deg): 60.00 60.00 60.00
Last column: nearest neighbours and their distance in Å.
Atoms (fractional coordinates):
1 Sc 0.5000 0.5000 0.5000  4 Fe 2.91, 4 Ga 2.91
2 Fe 0.7500 0.7500 0.7500  4 Sc 2.91, 4 Er 2.91
3 Ga 0.2500 0.2500 0.2500  4 Er 2.91, 4 Sc 2.91
4 Er 0.0000 0.0000 0.0000  4 Fe 2.91, 4 Ga 2.91



A plane-wave DFT calculation with PBE-GGA was carried out for an optimized crystal structure of VGeS3.

Calculated values
Total moment: 2.00 μB per cell
ΔE_f (raw): -466 meV per atom
Theoretical density: 3.01 g/cm3
SG: Cmc2_1, No. 36

a b c (Å): 3.7872 6.2270 10.4398
angles (deg): 90.00 100.45 90.00
Last column: nearest neighbours and their distance in Å.
Atoms (fractional coordinates):
1 V 0.8827 0.9345 0.7655  4 S 2.17-2.30
2 V 0.1173 0.4345 0.2345  4 S 2.17-2.30
3 Ge 0.3370 0.5149 0.6739  5 S 2.53-2.68
4 Ge 0.6630 0.0149 0.3261  5 S 2.53-2.68
5 S 0.8886 0.2832 0.7772  1 V 2.17
6 S 0.1114 0.7832 0.2228  1 V 2.17
7 S 0.5717 0.2879 0.1433  2 V 2.30, 1 Ge 2.53
8 S 0.4283 0.7879 0.8567  2 V 2.30, 1 Ge 2.53
9 S 0.7883 0.7737 0.5766  1 V 2.18
10 S 0.2117 0.2737 0.4234  1 V 2.18



A plane-wave DFT calculation with PBE-GGA was carried out for an optimized crystal structure of Te2Os2Pb.

Calculated values
Total moment: 0.00 μB per cell
ΔE_f (raw): 892 meV per atom
Theoretical density: 12.97 g/cm3
SG: P4/mbm, No. 127

a b c (Å): 8.2735 8.2735 3.1540
angles (deg): 90.00 90.00 90.00
Last column: nearest neighbours and their distance in Å.
Atoms (fractional coordinates):
1 Pb 0.0000 0.0000 0.0000  2 Pb 3.15, 4 Te 3.18
2 Pb 0.5000 0.5000 0.0000  2 Pb 3.15, 4 Te 3.18
3 Te 0.3570 0.8570 0.0000  4 Os 2.75
4 Te 0.8570 0.6430 0.0000  4 Os 2.75
5 Te 0.6430 0.1430 0.0000  4 Os 2.75
6 Te 0.1430 0.3570 0.0000  4 Os 2.75
7 Os 0.1292 0.6292 0.5000  4 Te 2.75, 1 Os 3.02
8 Os 0.6292 0.8708 0.5000  4 Te 2.75, 1 Os 3.02
9 Os 0.8708 0.3708 0.5000  4 Te 2.75, 1 Os 3.02
10 Os 0.3708 0.1292 0.5000  4 Te 2.75, 1 Os 3.02